Here is a relaxed structure of Sc4Te3H4 from the Alexandria database. Energies are from GGA-PBE.

Its energy is -5.019 eV/atom.

The space group is Immm (No. 71) and the conventional cell measures 3.599, 7.675 and 13.676 Å, with angles of 90.00, 90.00 and 90.00 degrees. The distinct sites, in fractional coordinates, are Sc at (0.000, 0.000, 0.201), Sc at (0.000, 0.216, 0.500), Te at (0.000, 0.000, 0.000), Te at (0.000, 0.500, 0.128) and H at (0.000, 0.352, 0.344).

***

Here is a relaxed structure of CePrAgRu from the Alexandria database. Energies are from GGA-PBE.

The energy relative to the elements is -135 meV/atom. Its energy is -5.845 eV/atom.

The space group is F-43m (No. 216) and the conventional cell measures 7.225, 7.225 and 7.225 Å, with angles of 90.00, 90.00 and 90.00 degrees. The distinct sites, in fractional coordinates, are Ce at (0.000, 0.000, 0.000), Pr at (0.000, 0.000, 0.500), Ag at (0.250, 0.250, 0.750) and Ru at (0.250, 0.250, 0.250).

***

| no. | size of the total moment (μB per atom) |
| --- | --- |
| 1 | 0.04 |
| 2 | 0.19 |